[1]
A geometry-optimized LaTi2CdS structure. Source: the Alexandria database, functional PBE.

Properties
Total DFT energy (no corrections): -27.75 eV for the cell shown
Formation energy without anion corrections: -0.40 eV/atom
Spin magnetization: 0.000 μB/cell
Calculated volume: 117 Å³ per cell

Cell and atoms, written as POSCAR:
```
LaTi2CdS
1.0
4.647 0.000 0.000
0.000 4.647 0.000
0.000 0.000 5.420
La Ti Cd S
1 2 1 1
direct
0.000 0.000 0.000
0.000 0.500 0.500
0.500 0.000 0.500
0.500 0.500 0.000
0.000 0.000 0.500
```

=====

[2]
A geometry-optimized LaVCdS2 structure. Source: the Alexandria database, functional PBE.

Properties
Total DFT energy (no corrections): -21.24 eV for the cell shown
Formation energy without anion corrections: 0.40 eV/atom
Spin magnetization: 4.236 μB/cell
Calculated volume: 181 Å³ per cell

Cell and atoms, written as POSCAR:
```
LaVCdS2
1.0
5.404 0.000 0.000
0.000 5.404 0.000
0.000 0.000 6.205
La V Cd S
1 1 1 2
direct
0.000 0.000 0.000
0.000 0.000 0.500
0.500 0.500 0.500
0.000 0.500 0.000
0.500 0.000 0.000
```

=====

[3]
A geometry-optimized LaY2CdS structure. Source: the Alexandria database, functional PBE.

Properties
Polymorph energy (0 for the lowest one): 0.000 eV per atom
Total DFT energy (no corrections): -20.94 eV for the cell shown
Formation energy without anion corrections: 0.39 eV/atom
Spin magnetization: 2.774 μB/cell
Calculated volume: 168 Å³ per cell

Cell and atoms, written as POSCAR:
```
LaY2CdS
1.0
5.785 0.000 0.000
0.000 5.785 0.000
0.000 0.000 5.033
La Y Cd S
1 2 1 1
direct
0.000 0.000 0.000
0.000 0.500 0.500
0.500 0.000 0.500
0.500 0.500 0.500
0.500 0.500 0.000
```

=====

[4]
A geometry-optimized LaY2CdS structure. Source: the Alexandria database, functional PBE.

Properties
Polymorph energy (0 for the lowest one): 0.578 eV per atom
Total DFT energy (no corrections): -18.05 eV for the cell shown
Formation energy without anion corrections: 0.97 eV/atom
Spin magnetization: 0.000 μB/cell
Calculated volume: 184 Å³ per cell

Cell and atoms, written as POSCAR:
```
LaY2CdS
1.0
5.745 0.000 0.000
0.000 5.745 0.000
0.000 0.000 5.570
La Y Cd S
1 2 1 1
direct
0.000 0.000 0.000
0.000 0.500 0.000
0.500 0.000 0.000
0.000 0.000 0.500
0.500 0.500 0.500
```

=====

[5]
A geometry-optimized La2Cd2Sb structure. Source: the Alexandria database, functional PBE.

Properties
Polymorph energy (0 for the lowest one): 0.000 eV per atom
Total DFT energy (no corrections): -18.20 eV for the cell shown
Formation energy without anion corrections: -0.48 eV/atom
Spin magnetization: 0.002 μB/cell
Calculated volume: 155 Å³ per cell

Cell and atoms, written as POSCAR:
```
La2Cd2Sb
1.0
-2.045 2.045 9.292
2.045 -2.045 9.292
2.045 2.045 -9.292
La Cd Sb
2 2 1
direct
0.094 0.094 0.000
0.906 0.906 0.000
0.250 0.750 0.500
0.750 0.250 0.500
0.500 0.500 0.000
```

=====

[6]
A geometry-optimized LaCdSb2 structure. Source: the Alexandria database, functional PBE.

Properties
Total DFT energy (no corrections): -15.97 eV for the cell shown
Formation energy without anion corrections: -0.47 eV/atom
Spin magnetization: 0.000 μB/cell
Calculated volume: 122 Å³ per cell

Cell and atoms, written as POSCAR:
```
LaCdSb2
1.0
4.330 0.000 0.000
0.000 4.330 0.000
0.000 0.000 6.485
La Cd Sb
1 1 2
direct
0.000 0.000 0.000
0.500 0.500 0.661
0.000 0.000 0.510
0.500 0.500 0.149
```

=====

[7]
A geometry-optimized La2CdSb2 structure. Source: the Alexandria database, functional PBE.

Properties
Polymorph energy (0 for the lowest one): 0.347 eV per atom
Total DFT energy (no corrections): -21.68 eV for the cell shown
Formation energy without anion corrections: -0.53 eV/atom
Spin magnetization: 1.242 μB/cell
Calculated volume: 182 Å³ per cell

Cell and atoms, written as POSCAR:
```
La2CdSb2
1.0
-3.151 3.151 4.576
3.151 -3.151 4.576
3.151 3.151 -4.576
La Cd Sb
2 1 2
direct
0.250 0.750 0.500
0.750 0.250 0.500
0.000 0.000 0.000
0.313 0.313 0.000
0.687 0.687 0.000
```

=====

[8]
A geometry-optimized LaCd2Sb2 structure. Source: the Alexandria database, functional PBE.

Properties
Total DFT energy (no corrections): -33.44 eV for the cell shown
Formation energy without anion corrections: -0.34 eV/atom
Spin magnetization: 0.000 μB/cell
Calculated volume: 272 Å³ per cell

Cell and atoms, written as POSCAR:
```
LaCd2Sb2
1.0
8.267 0.000 0.000
0.000 8.267 0.000
0.000 0.000 3.979
La Cd Sb
2 4 4
direct
0.000 0.000 0.000
0.500 0.500 0.000
0.119 0.381 0.000
0.381 0.881 0.000
0.619 0.119 0.000
0.881 0.619 0.000
0.185 0.685 0.500
0.315 0.185 0.500
0.685 0.815 0.500
0.815 0.315 0.500
```

=====

[9]
A geometry-optimized LaCdSb3 structure. Source: the Alexandria database, functional PBE.

Properties
Polymorph energy (0 for the lowest one): 0.411 eV per atom
Total DFT energy (no corrections): -15.71 eV for the cell shown
Formation energy without anion corrections: 0.50 eV/atom
Spin magnetization: 0.000 μB/cell
Calculated volume: 225 Å³ per cell

Cell and atoms, written as POSCAR:
```
LaCdSb3
1.0
6.080 0.000 0.000
0.000 6.080 0.000
0.000 0.000 6.080
La Cd Sb
1 1 3
direct
0.000 0.000 0.000
0.500 0.500 0.500
0.000 0.000 0.500
0.000 0.500 0.000
0.500 0.000 0.000
```

=====

[10]
A geometry-optimized La2CdSb structure. Source: the Alexandria database, functional PBE.

Properties
Polymorph energy (0 for the lowest one): 0.050 eV per atom
Total DFT energy (no corrections): -17.61 eV for the cell shown
Formation energy without anion corrections: -0.68 eV/atom
Spin magnetization: 0.000 μB/cell
Calculated volume: 120 Å³ per cell

Cell and atoms, written as POSCAR:
```
La2CdSb
1.0
-2.583 2.583 4.494
2.583 -2.583 4.494
2.583 2.583 -4.494
La Cd Sb
2 1 1
direct
0.250 0.750 0.500
0.750 0.250 0.500
0.000 0.000 0.000
0.500 0.500 0.000
```